VASP calculation (PBEsol) on a geometry-optimized MgCuIr2 structure.

```
data_MgCuIr2
_space_group_name_H-M_alt 'P 4 m m'
_space_group_IT_number 99
_cell_length_a 2.742
_cell_length_b 2.742
_cell_length_c 7.538
_cell_angle_alpha 90.00
_cell_angle_beta 90.00
_cell_angle_gamma 90.00
loop_
_space_group_symop_operation_xyz
'x,y,z'
'-y,x,z'
'-x,-y,z'
'y,-x,z'
'-x,y,z'
'y,x,z'
'x,-y,z'
'-y,-x,z'
loop_
_atom_site_label
_atom_site_type_symbol
_atom_site_fract_x
_atom_site_fract_y
_atom_site_fract_z
_atom_site_occupancy
Mg1 Mg 0.000 0.000 0.000 1
Cu1 Cu 0.500 0.500 0.260 1
Ir1 Ir 0.000 0.000 0.496 1
Ir2 Ir 0.500 0.500 0.735 1
```

Summary:
DOS at the Fermi energy in states/eV per cell: 2.62
Total magnetization in μB per atom: 0.00
Formation energy in eV/atom: -0.03